[1]
Computed, not measured: LiMnBeH6 after structural relaxation at the PBE level of DFT.

Geometry as CIF:
```
data_LiMnBeH6
_chemical_formula_sum 'Li2 Mn2 Be2 H12'
_space_group_name_H-M_alt 'P 63/m m c'
_space_group_IT_number 194
_space_group_name_Hall '-P 6c 2c'
_cell_length_a 4.0827
_cell_length_b 4.0827
_cell_length_c 8.5729
_cell_angle_alpha 90.00
_cell_angle_beta 90.00
_cell_angle_gamma 120.00
loop_
_atom_site_label
_atom_site_type_symbol
_atom_site_fract_x
_atom_site_fract_y
_atom_site_fract_z
_atom_site_occupancy
Li1 Li 0.0000 0.0000 0.0000 1
Mn1 Mn 0.3333 0.6667 0.2500 1
Be1 Be 0.3333 0.6667 0.7500 1
H1 H 0.0058 0.5029 0.1219 1
```

=====

[2]
Computed, not measured: LiZrPd2Pt after structural relaxation at the PBE level of DFT.

Geometry as CIF:
```
data_LiZrPd2Pt
_chemical_formula_sum 'Li1 Zr1 Pd2 Pt1'
_space_group_name_H-M_alt 'P 4/m m m'
_space_group_IT_number 123
_space_group_name_Hall '-P 4 2'
_cell_length_a 4.955
_cell_length_b 4.955
_cell_length_c 4.102
_cell_angle_alpha 90.00
_cell_angle_beta 90.00
_cell_angle_gamma 90.00
loop_
_atom_site_label
_atom_site_type_symbol
_atom_site_fract_x
_atom_site_fract_y
_atom_site_fract_z
_atom_site_occupancy
Li1 Li 0.000 0.000 0.000 1
Zr1 Zr 0.500 0.500 0.000 1
Pd1 Pd 0.000 0.500 0.500 1
Pt1 Pt 0.000 0.000 0.500 1
```

=====

[3]
Computed, not measured: PdCO3 after structural relaxation at the PBE level of DFT.

Geometry as CIF:
```
data_PdCO3
_chemical_formula_sum 'Pd1 C1 O3'
_space_group_name_H-M_alt 'P m -3 m'
_space_group_IT_number 221
_space_group_name_Hall '-P 4 2 3'
_cell_length_a 3.840
_cell_length_b 3.840
_cell_length_c 3.840
_cell_angle_alpha 90.00
_cell_angle_beta 90.00
_cell_angle_gamma 90.00
loop_
_atom_site_label
_atom_site_type_symbol
_atom_site_fract_x
_atom_site_fract_y
_atom_site_fract_z
_atom_site_occupancy
Pd1 Pd 0.000 0.000 0.000 1
C1 C 0.500 0.500 0.500 1
O1 O 0.000 0.000 0.500 1
```

Computed properties:
ΔE_f (raw)   1.6293 eV/atom

=====

[4]
Computed, not measured: Pu3Ge2Ir2 after structural relaxation at the PBE level of DFT.

Geometry as CIF:
```
data_Pu3Ge2Ir2
_chemical_formula_sum 'Pu12 Ge8 Ir8'
_space_group_name_H-M_alt 'P b c m'
_space_group_IT_number 57
_cell_length_a 5.566
_cell_length_b 7.931
_cell_length_c 13.304
_cell_angle_alpha 90.00
_cell_angle_beta 90.00
_cell_angle_gamma 90.00
loop_
_space_group_symop_operation_xyz
'x,y,z'
'-x,-y,-z'
'-x,-y,z+1/2'
'x,y,-z+1/2'
'x,-y+1/2,-z'
'-x,y+1/2,z'
'-x,y+1/2,-z+1/2'
'x,-y+1/2,z+1/2'
loop_
_atom_site_label
_atom_site_type_symbol
_atom_site_fract_x
_atom_site_fract_y
_atom_site_fract_z
_atom_site_occupancy
Pu1 Pu 0.130 0.246 0.250 1
Pu2 Pu 0.351 0.611 0.099 1
Ge1 Ge 0.160 0.250 0.000 1
Ge2 Ge 0.376 0.600 0.750 1
Ir1 Ir 0.127 0.542 0.593 1
```

=====

no.,total energy (eV/atom),N(E_F) (states/eV/f.u.),size of the total moment (μB/cell)
1,-3.936,1.44,3.38
2,-4.994,5.27,0.00
3,-4.229,3.18,0.49
4,-10.576,23.99,64.02